1.
Material: ScTlCd
Method: DFT, PBE
State: relaxed

```
ScTlCd
1.0
4.458 0.000 0.000
0.000 4.458 0.000
0.000 0.000 7.502
Sc Tl Cd
2 2 2
Cartesian
1.114 1.114 1.404 Sc
3.343 3.343 6.097 Sc
1.114 3.343 3.751 Tl
3.343 1.114 3.751 Tl
1.114 1.114 6.006 Cd
3.343 3.343 1.495 Cd
```

Output
volume	149	Å³ per cell
electronic total energy	-3.215	eV per atom
space group	P4/nmm
N(E_F)	5.5	states/eV per cell
energy of formation from the pure elements	-0.011	eV per atom



2.
Material: La9DyTl2
Method: DFT, PBE
State: relaxed

```
La9DyTl2
1.0
5.096 0.000 0.000
0.000 5.096 0.000
0.000 0.000 15.530
La Dy Tl
9 1 2
Cartesian
0.000 0.000 0.000 La
0.000 0.000 5.221 La
0.000 0.000 10.309 La
0.000 2.548 2.658 La
0.000 2.548 7.765 La
0.000 2.548 12.873 La
2.548 0.000 2.658 La
2.548 0.000 7.765 La
2.548 0.000 12.873 La
2.548 2.548 0.000 Dy
2.548 2.548 5.241 Tl
2.548 2.548 10.289 Tl
```

Output
volume	403	Å³ per cell
electronic total energy	-4.621	eV per atom
space group	P4/mmm
N(E_F)	17.0	states/eV per cell
energy of formation from the pure elements	-0.148	eV per atom



- Which of these has the highest electronic total energy?
  ScTlCd